Version w
The following is a DFT calculation (PBE-GGA) of an optimized crystal structure of AcAg2Hg3. Values from VASP.

Geometry as Quantum ESPRESSO input:
```
&SYSTEM
  ibrav = 0, nat = 12, ntyp = 3
/
ATOMIC_SPECIES
Ac 227.00 Ac.upf
Ag 107.87 Ag.upf
Hg 200.59 Hg.upf
CELL_PARAMETERS angstrom
6.5546 0.0000 0.0000
3.2773 5.6765 0.0000
3.2773 1.8922 8.3140
ATOMIC_POSITIONS angstrom
Ac 9.8320 5.6765 5.1547
Ac 3.2773 1.8922 3.1593
Ag 0.0000 0.0000 0.0000
Ag 1.6387 2.8382 0.0000
Ag 4.9160 2.8382 0.0000
Ag 3.2773 0.0000 0.0000
Hg 4.9519 4.7097 2.3025
Hg 6.5546 1.9336 2.3025
Hg 8.1574 4.7097 2.3025
Hg 6.5546 5.6350 6.0115
Hg 8.1574 2.8590 6.0115
Hg 4.9519 2.8590 6.0115
```

Properties
- Fermi-level density of states: 0.549 states/eV/atom
- ρ: 11.21 g/cm3

Version x
The following is a DFT calculation (PBE-GGA) of an optimized crystal structure of AcAg2Hg3. Values from VASP.

Geometry as Quantum ESPRESSO input:
```
&SYSTEM
  ibrav = 0, nat = 12, ntyp = 3
/
ATOMIC_SPECIES
Ac 227.00 Ac.upf
Ag 107.87 Ag.upf
Hg 200.59 Hg.upf
CELL_PARAMETERS angstrom
-2.1141 -4.3942 -0.3226
6.6016 -6.0168 1.6768
1.5886 -4.0674 7.9742
ATOMIC_POSITIONS angstrom
Ac -0.6994 -5.1757 1.0508
Ac 6.7755 -9.3026 8.2776
Ag 1.3491 -6.5824 6.7870
Ag 4.7271 -7.8959 2.5414
Ag 3.9421 -10.5191 6.4006
Ag 2.1340 -3.9592 2.9278
Hg 3.8002 -7.8239 7.6338
Hg 1.1395 -9.1096 5.5676
Hg 0.2738 -5.8763 4.2156
Hg 5.8023 -8.6020 5.1128
Hg 4.9366 -5.3688 3.7608
Hg 2.2759 -6.6544 1.6946
```

Properties
- Fermi-level density of states: 0.478 states/eV/atom
- ρ: 11.11 g/cm3

Each structure's energy above the most stable one, in meV/atom: version w 73; version x 0.

Version w
The following is a DFT calculation (PBE-GGA) of an optimized crystal structure of AcNdAgHg. Values from VASP.

Geometry as Quantum ESPRESSO input:
```
&SYSTEM
  ibrav = 0, nat = 4, ntyp = 4
/
ATOMIC_SPECIES
Ac 227.00 Ac.upf
Nd 144.24 Nd.upf
Hg 200.59 Hg.upf
Ag 107.87 Ag.upf
CELL_PARAMETERS angstrom
-4.9546 -1.8633 1.5878
-0.6396 -2.2146 5.0227
-2.8615 2.7129 3.8721
ATOMIC_POSITIONS angstrom
Ac 0.0000 0.0000 0.0000
Nd -4.2279 -0.6825 5.2413
Hg -6.3418 -1.0238 7.8620
Ag -2.1139 -0.3413 2.6207
```

Properties
- Fermi-level density of states: 0.849 states/eV/atom
- ρ: 9.46 g/cm3

Version x
The following is a DFT calculation (PBE-GGA) of an optimized crystal structure of AcNdAgHg. Values from VASP.

Geometry as Quantum ESPRESSO input:
```
&SYSTEM
  ibrav = 0, nat = 4, ntyp = 4
/
ATOMIC_SPECIES
Ac 227.00 Ac.upf
Nd 144.24 Nd.upf
Ag 107.87 Ag.upf
Hg 200.59 Hg.upf
CELL_PARAMETERS angstrom
-1.0339 1.2216 3.5482
-2.7564 -2.7446 0.1418
5.1248 -4.9811 3.2081
ATOMIC_POSITIONS angstrom
Ac -1.3204 -1.3201 2.2048
Nd 1.1844 -3.7547 3.7728
Ag 1.9417 -1.8873 1.2155
Hg 4.2843 -4.1642 2.6820
```

Properties
- Fermi-level density of states: 0.893 states/eV/atom
- ρ: 9.51 g/cm3

Each structure's energy above the most stable one, in meV/atom: version w 10; version x 0.